The following is a DFT calculation (GGA-PBE) of crystalline BS2BrCl at its relaxed geometry.

Unit cell a=4.862 b=4.862 c=5.234 alpha=90.00 beta=90.00 gamma=90.00
Space group P4/mmm (No. 123)
Unique sites:
B 0.000 0.000 0.000 [1 per cell]
S 0.000 0.500 0.500 [2 per cell]
Br 0.500 0.500 0.500 [1 per cell]
Cl 0.500 0.500 0.000 [1 per cell]

Properties
The calculation puts the total energy at -0.0752 Ha/atom. For the total magnetization, the calculation gives 0.00 Bohr magnetons per cell.